Compound: Cs3ZrTi
Source: the Alexandria database
Functional: SCAN
Structure: single point on PBEsol structure

Computed properties:
- formation energy (meV per atom) = 1512.6

```
5
Lattice="-0.1272 4.0364 5.6122 -1.2735 -5.5308 3.9490 6.7947 -0.9610 0.8452" Properties=species:S:1:pos:R:3 pbc="T T T"
Cs -0.6367 -2.7654 1.9745
Cs 3.3974 -0.4805 0.4226
Cs -0.0636 2.0182 2.8061
Zr 0.0000 0.0000 0.0000
Ti 2.6970 -1.2277 5.2032
```